5
Lattice="4.704 0.000 0.000 0.000 4.704 0.000 0.000 0.000 4.704" Properties=species:S:1:pos:R:3 comment="TaFeOs3 PBE relaxed" dos_at_fermi_per_ev_fu=10.53 polymorph_energy_ev_per_atom=1.2393 total_energy_ev_per_atom=-8.111 crystal_system=cubic m_tot_mub_per_fu=0.55 pbc="T T T"
Os 0.000 2.352 0.000
Os 0.000 0.000 2.352
Os 2.352 0.000 0.000
Fe 2.352 2.352 2.352
Ta 0.000 0.000 0.000